Entry from the Alexandria database: a relaxed structure of Sm6Dy2Y3Zr (PBE).

Summary:
size of the total moment = 0.000 μB per formula unit
DFT total energy = -64.9 eV per formula unit
space group = C2/m
energy of formation = 1.2 kcal/mol of atoms

Unit cell a=6.1648 b=6.1648 c=11.7508 alpha=94.99 beta=94.99 gamma=119.92
Fractional coordinates of all 12 atoms:
Sm1 0.9188 0.5917 0.7559
Sm2 0.7542 0.7542 0.2433
Sm3 0.0812 0.4083 0.2441
Sm4 0.5917 0.9188 0.7559
Sm5 0.2458 0.2458 0.7567
Sm6 0.4083 0.0812 0.2441
Dy1 0.3331 0.6669 0.0000
Dy2 0.6669 0.3331 0.0000
Y1 0.1663 0.8337 0.5000
Y2 0.8337 0.1663 0.5000
Y3 0.5000 0.5000 0.5000
Zr1 0.0000 0.0000 0.0000